(1)
6
Lattice="0.000 3.274 3.274 3.274 0.000 3.274 3.274 3.274 0.000" Properties=species:S:1:pos:R:3 comment="CoNi4Mo (PBE, relaxed)" formation_enthalpy_0k_ev_per_fu=0.38 pbc="T T T"
Co 4.911 4.911 4.911
Ni 2.457 4.091 4.091
Ni 4.091 4.091 2.457
Ni 4.091 2.457 4.091
Ni 2.457 2.457 2.457
Mo 0.000 0.000 0.000


(2)
6
Lattice="0.000 3.266 3.266 3.266 0.000 3.266 3.266 3.266 0.000" Properties=species:S:1:pos:R:3 comment="Co4NiMo (PBE, relaxed)" formation_enthalpy_0k_ev_per_fu=0.58 pbc="T T T"
Co 2.447 4.085 4.085
Co 4.085 4.085 2.447
Co 4.085 2.447 4.085
Co 2.447 2.447 2.447
Ni 0.000 0.000 0.000
Mo 4.899 4.899 4.899


(3)
11
Lattice="4.040 -0.491 -1.079 -0.126 4.038 -2.308 -1.314 1.557 7.486" Properties=species:S:1:pos:R:3 comment="Co2Ni8Mo (PBE, relaxed)" formation_enthalpy_0k_ev_per_fu=1.63 pbc="T T T"
Ni 0.186 3.775 4.208
Ni 2.351 3.385 -1.283
Ni 0.711 1.189 2.042
Ni 1.890 3.915 2.058
Ni 0.250 1.719 5.383
Ni 2.415 1.329 -0.108
Ni 2.213 2.516 4.282
Ni 0.388 2.588 -0.182
Mo 0.000 0.000 0.000
Co 2.974 1.416 2.317
Co -0.373 3.688 1.783


(4)
10
Lattice="-4.051 -1.350 -1.983 -3.502 -3.686 4.260 -4.015 2.193 1.112" Properties=species:S:1:pos:R:3 comment="Co3Ni6Mo (PBE, relaxed)" formation_enthalpy_0k_ev_per_fu=1.34 pbc="T T T"
Co -9.942 -1.767 2.138
Co -1.626 -1.076 1.250
Co 0.000 0.000 0.000
Ni -7.981 -2.863 1.607
Ni -3.605 -1.726 0.255
Ni -3.588 0.020 1.781
Ni -7.963 -1.116 3.133
Ni -6.141 -3.136 3.661
Ni -5.427 0.293 -0.273
Mo -5.784 -1.421 1.694